Entry from the Alexandria database: Tb2SmIrO8 after structural relaxation (PBE).

Cell and atoms, written as CIF:
```
data_Tb2SmIrO8
_cell_length_a 5.079
_cell_length_b 6.871
_cell_length_c 5.086
_cell_angle_alpha 90.00
_cell_angle_beta 90.08
_cell_angle_gamma 90.00
_symmetry_space_group_name_H-M 'P 1 2/m 1'
_symmetry_Int_Tables_number 10
loop_
_symmetry_equiv_pos_as_xyz
'x,y,z'
'-x,-y,-z'
'-x,y,-z'
'x,-y,z'
loop_
_atom_site_label
_atom_site_fract_x
_atom_site_fract_y
_atom_site_fract_z
Tb1 0.000 0.249 0.000
Sm1 0.500 0.000 0.500
Ir1 0.500 0.500 0.500
O1 0.188 0.000 0.187
O2 0.235 0.500 0.233
O3 0.315 0.294 0.683
```

E_form (uncorrected): -2325 meV per atom
Energy: -90.4 eV for the cell shown
Density: 7.4 g cm⁻³